Below is a geometry-optimized HfSiBr3 structure, with properties calculated at the GGA-PBE level.

Cell lengths 5.2633, 5.2633, 5.2633 Å; angles 90.00, 90.00, 90.00 degrees
Last column: nearest neighbours and their distance in Å.
Sites, in units of the cell vectors:
1 Hf 0.0000 0.0000 0.0000  12 Br 3.72
2 Si 0.5000 0.5000 0.5000  6 Br 2.63
3 Br 0.0000 0.5000 0.5000  2 Si 2.63
4 Br 0.5000 0.0000 0.5000  2 Si 2.63
5 Br 0.5000 0.5000 0.0000  2 Si 2.63

uncorrected formation energy	565.0	meV per atom
E_tot	-17.6	eV/cell
relative energy among the computed polymorphs	2.69	eV per formula unit

***

Below is a geometry-optimized K2TaGaS5 structure, with properties calculated at the GGA-PBE level.

Cell lengths 9.3523, 9.3523, 14.0600 Å; angles 90.00, 90.00, 157.53 degrees
Last column: nearest neighbours and their distance in Å.
Sites, in units of the cell vectors:
1 K 0.1002 0.8998 0.5000  5 S 3.10-3.38
2 K 0.1307 0.8693 0.1359  7 S 3.12-3.44
3 K 0.8693 0.1307 0.6360  7 S 3.12-3.44
4 K 0.8998 0.1002 0.0000  5 S 3.10-3.38
5 Ta 0.2235 0.7765 0.8553  3 S 2.24-2.47
6 Ta 0.7765 0.2235 0.3553  3 S 2.24-2.47
7 Ga 0.4325 0.5675 0.2643  4 S 2.18-2.42
8 Ga 0.5675 0.4325 0.7643  4 S 2.18-2.42
9 S 0.0700 0.9300 0.8668  2 Ga 2.32
10 S 0.2832 0.7168 0.4734  2 Ta 2.47
11 S 0.3028 0.6972 0.2331  1 Ga 2.42, 2 Ta 2.55
12 S 0.3438 0.6562 0.8273  1 Ta 2.24
13 S 0.4929 0.5071 0.1306  1 Ga 2.18
14 S 0.5071 0.4929 0.6306  1 Ga 2.18
15 S 0.6562 0.3438 0.3273  1 Ta 2.24
16 S 0.6972 0.3028 0.7331  1 Ga 2.42, 2 Ta 2.55
17 S 0.7168 0.2832 0.9734  2 Ta 2.47
18 S 0.9300 0.0700 0.3668  2 Ga 2.32

uncorrected formation energy	-1015.5	meV per atom
E_tot	-93.7	eV/cell

***

Below is a geometry-optimized V2CuTe structure, with properties calculated at the GGA-PBE level.

Cell lengths 10.0114, 10.0114, 10.0114 Å; angles 158.72, 158.72, 30.28 degrees
Last column: nearest neighbours and their distance in Å.
Sites, in units of the cell vectors:
1 V 0.1220 0.6250 0.9970  4 V 2.60-2.63, 2 Te 2.74, 2 Cu 2.75
2 V 0.3750 0.3720 0.4970  4 V 2.60-2.63, 2 Te 2.74, 2 Cu 2.75
3 V 0.6280 0.1250 0.0030  4 V 2.60-2.63, 2 Te 2.74, 2 Cu 2.75
4 V 0.8750 0.8780 0.5030  4 V 2.60-2.63, 2 Te 2.74, 2 Cu 2.75
5 Cu 0.2500 0.7500 0.5000  4 Te 2.61, 4 V 2.75
6 Cu 0.5000 0.5000 0.0000  4 Te 2.61, 4 V 2.75
7 Te 0.0000 0.0000 0.0000  4 Cu 2.61, 4 V 2.74
8 Te 0.7500 0.2500 0.5000  4 Cu 2.61, 4 V 2.74

uncorrected formation energy	462.9	meV per atom
E_tot	-47.2	eV/cell

***

Below is a geometry-optimized NaPuCuTe3 structure, with properties calculated at the GGA-PBE level.

Cell lengths 9.0308, 4.2730, 9.8880 Å; angles 90.00, 104.87, 90.00 degrees
Last column: nearest neighbours and their distance in Å.
Sites, in units of the cell vectors:
1 Na 0.1944 0.2500 0.2427  6 Te 3.27-3.43
2 Na 0.8056 0.7500 0.7573  6 Te 3.27-3.43
3 Pu 0.3202 0.7500 0.8383  6 Te 3.03-3.10
4 Pu 0.6798 0.2500 0.1617  6 Te 3.03-3.10
5 Cu 0.0781 0.2500 0.5826  4 Te 2.66-2.67, 2 Cu 2.84
6 Cu 0.9219 0.7500 0.4174  4 Te 2.66-2.67, 2 Cu 2.84
7 Te 0.0867 0.2500 0.8541  1 Cu 2.67
8 Te 0.2243 0.7500 0.5203  3 Cu 2.66-2.67
9 Te 0.4351 0.7500 0.1623  3 Pu 3.07-3.10, 2 Na 3.29
10 Te 0.5649 0.2500 0.8377  3 Pu 3.07-3.10, 2 Na 3.29
11 Te 0.7757 0.2500 0.4797  3 Cu 2.66-2.67
12 Te 0.9133 0.7500 0.1459  1 Cu 2.67

uncorrected formation energy	-691.6	meV per atom
E_tot	-66.6	eV/cell

***

Below is a geometry-optimized PuBiPd6 structure, with properties calculated at the GGA-PBE level.

Cell lengths 4.1461, 4.1461, 8.2884 Å; angles 90.00, 90.00, 90.00 degrees
Last column: nearest neighbours and their distance in Å.
Sites, in units of the cell vectors:
1 Pu 0.0000 0.0000 0.0000  12 Pd 2.92-2.93
2 Bi 0.0000 0.0000 0.5000  12 Pd 2.93-2.95
3 Pd 0.0000 0.5000 0.2474  2 Pu 2.92, 8 Pd 2.92-2.95, 2 Bi 2.95
4 Pd 0.0000 0.5000 0.7526  2 Pu 2.92, 8 Pd 2.92-2.95, 2 Bi 2.95
5 Pd 0.5000 0.0000 0.2474  2 Pu 2.92, 8 Pd 2.92-2.95, 2 Bi 2.95
6 Pd 0.5000 0.0000 0.7526  2 Pu 2.92, 8 Pd 2.92-2.95, 2 Bi 2.95
7 Pd 0.5000 0.5000 0.0000  8 Pd 2.92, 4 Pu 2.93
8 Pd 0.5000 0.5000 0.5000  4 Bi 2.93, 8 Pd 2.95

E_tot	-52.5	eV/cell
relative energy among the computed polymorphs	0.00	eV per formula unit
formation energy	-0.392	eV per atom

***

Below is a geometry-optimized TcMo2Ru structure, with properties calculated at the GGA-PBE level.

Cell lengths 4.8373, 4.8373, 4.7839 Å; angles 98.86, 98.86, 33.23 degrees
Last column: nearest neighbours and their distance in Å.
Sites, in units of the cell vectors:
1 Tc 0.0000 0.0000 0.0000  3 Ru 2.70-2.86, 7 Mo 2.72-2.83, 2 Tc 2.77
2 Mo 0.5178 0.5178 0.5171  4 Tc 2.72-2.82, 5 Mo 2.73-2.92, 3 Ru 2.75-2.79
3 Mo 0.7552 0.7552 0.2450  3 Tc 2.72-2.83, 4 Ru 2.72-2.80, 5 Mo 2.73-2.92
4 Ru 0.2627 0.2627 0.7570  3 Tc 2.70-2.86, 7 Mo 2.72-2.80, 2 Ru 2.77

E_tot	-40.8	eV/cell
relative energy among the computed polymorphs	0.07	eV per formula unit
formation energy	0.120	eV per atom

***

Below is a geometry-optimized KNdSiSe4 structure, with properties calculated at the GGA-PBE level.

Cell lengths 6.8210, 6.9701, 9.1746 Å; angles 90.00, 107.36, 90.00 degrees
Last column: nearest neighbours and their distance in Å.
Sites, in units of the cell vectors:
1 K 0.2387 0.2500 0.4362  8 Se 3.42-3.67
2 K 0.7613 0.7500 0.5638  8 Se 3.42-3.67
3 Nd 0.2700 0.2500 0.9479  6 Se 2.99-3.06
4 Nd 0.7300 0.7500 0.0521  6 Se 2.99-3.06
5 Si 0.2815 0.7500 0.1792  4 Se 2.26-2.30
6 Si 0.7185 0.2500 0.8208  4 Se 2.26-2.30
7 Se 0.0843 0.7500 0.3387  1 Si 2.26
8 Se 0.0909 0.7500 0.9277  1 Si 2.29
9 Se 0.4959 0.5051 0.7793  1 Si 2.30
10 Se 0.4959 0.9949 0.7793  1 Si 2.30
11 Se 0.5041 0.0051 0.2207  1 Si 2.30
12 Se 0.5041 0.4949 0.2207  1 Si 2.30
13 Se 0.9091 0.2500 0.0723  1 Si 2.29
14 Se 0.9157 0.2500 0.6613  1 Si 2.26

uncorrected formation energy	-1241.1	meV per atom
E_tot	-67.8	eV/cell

***

Below is a geometry-optimized TlH4Rh2 structure, with properties calculated at the GGA-PBE level.

Cell lengths 5.8619, 5.8619, 5.9387 Å; angles 119.70, 119.70, 89.67 degrees
Last column: nearest neighbours and their distance in Å.
Sites, in units of the cell vectors:
1 Tl 0.1246 0.8754 0.7500  4 H 2.31
2 Tl 0.8754 0.1246 0.2500  4 H 2.31
3 H 0.2788 0.7131 0.4252  3 Rh 1.84-1.85
4 H 0.2869 0.7212 0.0748  3 Rh 1.84-1.85
5 H 0.2882 0.3536 0.0749  3 Rh 1.85
6 H 0.3536 0.2882 0.5749  3 Rh 1.85
7 H 0.6464 0.7118 0.4251  3 Rh 1.85
8 H 0.7118 0.6464 0.9251  3 Rh 1.85
9 H 0.7131 0.2788 0.9252  3 Rh 1.84-1.85
10 H 0.7212 0.2869 0.5748  3 Rh 1.84-1.85
11 Rh 0.0000 0.5000 0.0000  6 H 1.85
12 Rh 0.5000 0.0000 0.5000  6 H 1.85
13 Rh 0.5000 0.5000 0.0000  6 H 1.84-1.85
14 Rh 0.5000 0.5000 0.5000  6 H 1.84-1.85

E_tot	-59.7	eV/cell

***

Please write out number 4 again, unchanged.
Below is a geometry-optimized NaPuCuTe3 structure, with properties calculated at the GGA-PBE level.

Cell lengths 9.0308, 4.2730, 9.8880 Å; angles 90.00, 104.87, 90.00 degrees
Last column: nearest neighbours and their distance in Å.
Sites, in units of the cell vectors:
1 Na 0.1944 0.2500 0.2427  6 Te 3.27-3.43
2 Na 0.8056 0.7500 0.7573  6 Te 3.27-3.43
3 Pu 0.3202 0.7500 0.8383  6 Te 3.03-3.10
4 Pu 0.6798 0.2500 0.1617  6 Te 3.03-3.10
5 Cu 0.0781 0.2500 0.5826  4 Te 2.66-2.67, 2 Cu 2.84
6 Cu 0.9219 0.7500 0.4174  4 Te 2.66-2.67, 2 Cu 2.84
7 Te 0.0867 0.2500 0.8541  1 Cu 2.67
8 Te 0.2243 0.7500 0.5203  3 Cu 2.66-2.67
9 Te 0.4351 0.7500 0.1623  3 Pu 3.07-3.10, 2 Na 3.29
10 Te 0.5649 0.2500 0.8377  3 Pu 3.07-3.10, 2 Na 3.29
11 Te 0.7757 0.2500 0.4797  3 Cu 2.66-2.67
12 Te 0.9133 0.7500 0.1459  1 Cu 2.67

uncorrected formation energy	-691.6	meV per atom
E_tot	-66.6	eV/cell

***

- The lowest E_tot belongs to which entry?
  K2TaGaS5

***

- E_tot of number 1 (HfSiBr3)?
  -17.6 eV/cell